Entry 1:
First-principles (PBE) data for crystalline Li7InPd3 at its relaxed geometry, as listed in Alexandria.

POSCAR file:
```
Li7InPd3
1.0
1.4153 -10.7424 0.0000
1.4153 10.7424 0.0000
0.0000 0.0000 12.2024
Li In Pd
14 2 6
Direct
0.0635 0.9365 0.6278
0.0635 0.9365 0.8722
0.1008 0.8992 0.0875
0.1008 0.8992 0.4125
0.1887 0.8113 0.7500
0.2217 0.7783 0.0971
0.2217 0.7783 0.4029
0.7783 0.2217 0.5971
0.7783 0.2217 0.9029
0.8113 0.1887 0.2500
0.8992 0.1008 0.5875
0.8992 0.1008 0.9125
0.9365 0.0635 0.1278
0.9365 0.0635 0.3722
0.4697 0.5303 0.7500
0.5303 0.4697 0.2500
0.3394 0.6606 0.0633
0.3394 0.6606 0.4367
0.3406 0.6594 0.7500
0.6594 0.3406 0.2500
0.6606 0.3394 0.5633
0.6606 0.3394 0.9367
```

## Properties
offset from the most stable computed form	0.0	kJ per mole of atoms
E	-3.188	eV per atom

Entry 2:
First-principles (PBE) data for crystalline Ti8Ga2Pb at its relaxed geometry, as listed in Alexandria.

POSCAR file:
```
Ti8Ga2Pb
1.0
3.6575 -6.0557 0.0000
3.6575 6.0557 0.0000
-2.0392 0.0000 4.4979
Ti Ga Pb
8 2 1
Direct
0.0894 0.3207 0.6391
0.2365 0.7635 0.0000
0.3207 0.0894 0.6391
0.4236 0.4236 0.2029
0.5764 0.5764 0.7971
0.6793 0.9106 0.3609
0.7635 0.2365 0.0000
0.9106 0.6793 0.3609
0.3069 0.6931 0.5000
0.6931 0.3069 0.5000
0.0000 0.0000 0.0000
```

## Properties
E	-6.708	eV per atom

Entry 3:
First-principles (PBE) data for crystalline La2Ag at its relaxed geometry, as listed in Alexandria.

POSCAR file:
```
La2Ag
1.0
6.5844 -2.0488 0.0000
6.5844 2.0488 0.0000
-0.0128 0.0000 7.2460
La Ag
4 2
Direct
0.0000 0.0000 0.0000
0.0552 0.0552 0.5018
0.3283 0.3283 0.3024
0.7272 0.7272 0.8048
0.4087 0.4087 0.7244
0.6454 0.6454 0.2257
```

## Properties
E	-4.360	eV per atom

Entry 4:
First-principles (PBE) data for crystalline La2PaAu at its relaxed geometry, as listed in Alexandria.

POSCAR file:
```
La2PaAu
1.0
0.0000 3.7976 3.7976
3.7976 0.0000 3.7976
3.7976 3.7976 0.0000
La Pa Au
2 1 1
Direct
0.2500 0.2500 0.2500
0.7500 0.7500 0.7500
0.0000 0.0000 0.0000
0.5000 0.5000 0.5000
```

## Properties
offset from the most stable computed form	36.0	kJ per mole of atoms
E	-5.523	eV per atom

Entry 5:
First-principles (PBE) data for crystalline Tl2SbPb at its relaxed geometry, as listed in Alexandria.

POSCAR file:
```
Tl2SbPb
1.0
0.0000 3.9664 3.9664
3.9664 0.0000 3.9664
3.9664 3.9664 0.0000
Tl Sb Pb
2 1 1
Direct
0.0000 0.0000 0.0000
0.2500 0.2500 0.2500
0.7500 0.7500 0.7500
0.5000 0.5000 0.5000
```

## Properties
offset from the most stable computed form	3.8	kJ per mole of atoms
E	-3.105	eV per atom

Entry 6:
First-principles (PBE) data for crystalline ZrTlRu2 at its relaxed geometry, as listed in Alexandria.

POSCAR file:
```
ZrTlRu2
1.0
5.1142 -1.5953 0.0000
5.1142 1.5953 0.0000
-1.6635 0.0000 4.3474
Zr Tl Ru
1 1 2
Direct
0.0000 0.0000 0.0000
0.2295 0.2295 0.6340
0.4820 0.4820 0.4940
0.7568 0.7568 0.1476
```

## Properties
offset from the most stable computed form	13.0	kJ per mole of atoms
E	-7.329	eV per atom